(1)
An optimized crystal structure of LaCd3I. Source: the Alexandria database, functional PBE.

Energy relative to the elements, uncorrected (meV/atom): 566.2
Total moment (μB/atom): 0.000
SG: No. 221
D(E_F) (states/eV per cell): 7.33
Offset from the most stable computed form (kJ/mol of formula units): 69

a = 5.7045 Å, b = 5.7045 Å, c = 5.7045 Å
α = 90.00°, β = 90.00°, γ = 90.00°
Atoms (fractional coordinates):
Cd 0.0000 0.5000 0.0000
Cd 0.5000 0.0000 0.0000
Cd 0.0000 0.0000 0.5000
La 0.5000 0.5000 0.5000
I 0.0000 0.0000 0.0000


(2)
An optimized crystal structure of AcDyTi. Source: the Alexandria database, functional PBE.

Total moment (μB/atom): 0.000
SG: No. 63
ΔH_f (0 K) (eV per atom): 0.211
D(E_F) (states/eV per cell): 7.47

a = 3.5887 Å, b = 4.9122 Å, c = 11.7429 Å
α = 90.00°, β = 117.29°, γ = 90.00°
Atoms (fractional coordinates):
Ac 0.4182 0.2500 0.1122
Ac 0.5818 0.7500 0.8878
Ti 0.9050 0.2500 0.4367
Ti 0.0950 0.7500 0.5633
Dy 0.7708 0.2500 0.6805
Dy 0.2292 0.7500 0.3195


(3)
An optimized crystal structure of PaCo3Si2. Source: the Alexandria database, functional PBE.

Energy relative to the elements, uncorrected (meV/atom): -570.8
Total moment (μB/atom): 0.000
SG: No. 12
D(E_F) (states/eV per cell): 11.13

a = 3.7564 Å, b = 7.5791 Å, c = 6.8115 Å
α = 114.80°, β = 90.00°, γ = 104.35°
Atoms (fractional coordinates):
Co 0.3171 0.6342 0.5568
Co 0.6829 0.3658 0.4432
Co 0.9628 0.9256 0.6300
Co 0.0372 0.0744 0.3700
Co 0.4047 0.8094 0.3189
Co 0.5953 0.1906 0.6811
Si 0.8106 0.6213 0.3344
Si 0.5233 0.0466 0.1894
Si 0.1894 0.3787 0.6656
Si 0.4767 0.9534 0.8106
Pa 0.8478 0.6957 0.9406
Pa 0.1522 0.3043 0.0594


(4)
An optimized crystal structure of CeSiSn2. Source: the Alexandria database, functional PBE.

Energy relative to the elements, uncorrected (meV/atom): -214.9
Total moment (μB/atom): 0.123
SG: No. 63
D(E_F) (states/eV per cell): 9.90
Offset from the most stable computed form (kJ/mol of formula units): 74

a = 12.0322 Å, b = 12.0322 Å, c = 4.3354 Å
α = 90.00°, β = 90.00°, γ = 160.19°
Last column: magnetic moment on the atom in μB.
Atoms (fractional coordinates):
Sn 0.7497 0.2503 0.2500  0.01
Sn 0.0406 0.9594 0.2500  0.00
Sn 0.2503 0.7497 0.7500  0.01
Sn 0.9594 0.0406 0.7500  0.00
Ce 0.6355 0.3645 0.7500  0.43
Ce 0.3645 0.6355 0.2500  0.43
Si 0.8508 0.1492 0.7500  0.00
Si 0.1492 0.8508 0.2500  0.00


Question: What is the D(E_F) in the fourth record?
Answer: 9.90 states/eV per cell


Please write out number 1 again, unchanged.
An optimized crystal structure of LaCd3I. Source: the Alexandria database, functional PBE.

Energy relative to the elements, uncorrected (meV/atom): 566.2
Total moment (μB/atom): 0.000
SG: No. 221
D(E_F) (states/eV per cell): 7.33
Offset from the most stable computed form (kJ/mol of formula units): 69

a = 5.7045 Å, b = 5.7045 Å, c = 5.7045 Å
α = 90.00°, β = 90.00°, γ = 90.00°
Atoms (fractional coordinates):
Cd 0.0000 0.5000 0.0000
Cd 0.5000 0.0000 0.0000
Cd 0.0000 0.0000 0.5000
La 0.5000 0.5000 0.5000
I 0.0000 0.0000 0.0000


Question: Which value of total moment does entry 4 give?
Answer: 0.123 μB/atom


Question: The highest D(E_F) belongs to which entry?
Answer: PaCo3Si2